Compound: Ac9Pr2Ho
Source: Alexandria
Functional: PBE-GGA
Structure: relaxed

Computed properties:
Crystal system: tetragonal
DFT formation energy, eV/atom: 0.025

a = 5.5185 Å, b = 5.5185 Å, c = 16.5922 Å
α = 90.00°, β = 90.00°, γ = 90.00°
With the nearest neighbours (Å) after each atom.
Positions (direct):
Ac 0.0000 0.0000 0.0000  8 Ac 3.88, 4 Ho 3.90
Ac 0.0000 0.0000 0.3321  4 Pr 3.90, 8 Ac 3.92
Ac 0.0000 0.0000 0.6679  4 Pr 3.90, 8 Ac 3.92
Ac 0.0000 0.5000 0.1643  8 Ac 3.88-3.92, 2 Ho 3.88, 2 Pr 3.92
Ac 0.0000 0.5000 0.5000  8 Ac 3.90-3.92, 4 Pr 3.92
Ac 0.0000 0.5000 0.8357  8 Ac 3.88-3.92, 2 Ho 3.88, 2 Pr 3.92
Ac 0.5000 0.0000 0.1643  8 Ac 3.88-3.92, 2 Ho 3.88, 2 Pr 3.92
Ac 0.5000 0.0000 0.5000  8 Ac 3.90-3.92, 4 Pr 3.92
Ac 0.5000 0.0000 0.8357  8 Ac 3.88-3.92, 2 Ho 3.88, 2 Pr 3.92
Pr 0.5000 0.5000 0.3319  12 Ac 3.90-3.92
Pr 0.5000 0.5000 0.6681  12 Ac 3.90-3.92
Ho 0.5000 0.5000 0.0000  12 Ac 3.88-3.90